A plane-wave DFT calculation with PBE was carried out for a geometry-optimized Ce12Si6Os structure.

Cell: 7.786 7.786 7.786 Å, 94.87 94.87 94.87°
Fractional positions:
Ce: 0.035 0.929 0.662
Ce: 0.071 0.338 0.965
Ce: 0.155 0.414 0.516
Ce: 0.338 0.965 0.071
Ce: 0.414 0.516 0.155
Ce: 0.484 0.845 0.586
Ce: 0.516 0.155 0.414
Ce: 0.586 0.484 0.845
Ce: 0.662 0.035 0.929
Ce: 0.845 0.586 0.484
Ce: 0.929 0.662 0.035
Ce: 0.965 0.071 0.338
Si: 0.172 0.760 0.338
Si: 0.240 0.662 0.828
Si: 0.338 0.172 0.760
Si: 0.662 0.828 0.240
Si: 0.760 0.338 0.172
Si: 0.828 0.240 0.662
Os: 0.500 0.500 0.500

## Properties
- formation energy without anion corrections (eV per atom) = -0.338
- space group = R-3, No. 148
- total energy (eV per cell) = -121.40